# 1
Below is a relaxed Mn2AsHPd crystal, with properties calculated at the PBE level.

Cell: 3.8647 3.8647 3.9929 Å, 90.00 90.00 90.00°
Closest atoms and distances in Å follow each position.
Fractional positions:
Mn (0.0000, 0.5000, 0.0000)  2 H 1.93
Mn (0.5000, 0.0000, 0.0000)  2 H 1.93
As (0.0000, 0.0000, 0.5000)  4 Pd 2.73, 8 Mn 2.78
H (0.5000, 0.5000, 0.0000)  4 Mn 1.93, 2 Pd 2.00
Pd (0.5000, 0.5000, 0.5000)  2 H 2.00

Calculated values
Symmetry   P4/mmm, No. 123
E   -6.342 eV/atom
Fermi-level density of states   0.710 states/eV per atom

# 2
Below is a relaxed MnAsHRu2 crystal, with properties calculated at the PBE level.

Cell: 3.9983 3.9983 3.6234 Å, 90.00 90.00 90.00°
Closest atoms and distances in Å follow each position.
Fractional positions:
Mn (0.0000, 0.0000, 0.0000)  2 H 1.81
As (0.5000, 0.5000, 0.0000)  8 Ru 2.70, 4 Mn 2.83
H (0.0000, 0.0000, 0.5000)  2 Mn 1.81, 4 Ru 2.00
Ru (0.0000, 0.5000, 0.5000)  2 H 2.00
Ru (0.5000, 0.0000, 0.5000)  2 H 2.00

Calculated values
Symmetry   P4/mmm, No. 123
E   -7.131 eV/atom
Fermi-level density of states   0.394 states/eV per atom

# 3
Below is a relaxed ScMnAs2H crystal, with properties calculated at the PBE level.

Cell: 4.7233 4.7233 3.2772 Å, 90.00 90.00 90.00°
Closest atoms and distances in Å follow each position.
Fractional positions:
Sc (0.0000, 0.0000, 0.0000)  8 As 2.87
Mn (0.5000, 0.5000, 0.0000)  2 H 1.64
As (0.0000, 0.5000, 0.5000)  2 H 2.36
As (0.5000, 0.0000, 0.5000)  2 H 2.36
H (0.5000, 0.5000, 0.5000)  2 Mn 1.64

Calculated values
Symmetry   P4/mmm, No. 123
E   -5.860 eV/atom
Fermi-level density of states   0.522 states/eV per atom